(1)
TcIr2W | the Alexandria database | PBE | relaxed; crystal system = orthorhombic
1.0
4.759 -0.006 -0.005
1.542 4.502 0.006
-3.147 -2.252 2.773
Tc Ir W
1 2 1
Cartesian
3.151 2.247 0.001
1.611 -2.256 2.768
2.381 -0.005 1.384
0.772 2.249 1.390

(2)
TcIr2W2 | the Alexandria database | PBE | relaxed; crystal system = tetragonal
1.0
-1.850 1.850 6.231
1.850 -1.850 6.231
1.850 1.850 -6.231
Tc W Ir
1 2 2
Cartesian
0.000 0.000 0.000
0.000 0.000 7.494
0.000 0.000 4.968
0.000 1.850 3.116
1.850 0.000 3.116

(3)
TcIr2W | the Alexandria database | PBE | relaxed; crystal system = trigonal
1.0
9.205 -0.020 -0.012
8.795 2.716 -0.012
8.795 1.317 2.375
Ir W Tc
2 1 1
Cartesian
0.029 0.004 0.003
6.646 0.995 0.583
20.044 3.002 1.759
13.472 2.018 1.182

(4)
TcIr2W | the Alexandria database | PBE | relaxed; crystal system = tetragonal
1.0
3.302 0.000 0.000
0.000 3.302 0.000
0.000 0.000 5.592
W Tc Ir
1 1 2
Cartesian
1.651 1.651 4.253
0.000 0.000 2.735
0.000 0.000 0.003
1.651 1.651 1.397

(5)
YTc2Ir | the Alexandria database | PBE | relaxed; crystal system = orthorhombic
1.0
-0.953 -2.218 2.098
3.261 -2.737 -1.411
2.953 1.829 3.276
Tc Ir Y
2 1 1
Cartesian
0.000 0.000 0.000
1.154 -2.477 0.343
3.107 -0.454 0.932
1.000 -0.194 2.687

(6)
YTc2Ir | the Alexandria database | PBE | relaxed; crystal system = tetragonal
1.0
2.825 0.000 0.000
0.000 2.825 0.000
0.000 0.000 8.582
Tc Y Ir
2 1 1
Cartesian
0.000 0.000 8.291
0.000 0.000 4.582
1.413 1.413 2.146
1.413 1.413 6.437

| no. | magnetic moment (μB per formula unit) | total energy (eV/atom) | formation energy from the elements (meV per atom) |
| --- | --- | --- | --- |
| 1 | 0.000 | -10.451 | -191 |
| 2 | 0.517 | -10.182 | 617 |
| 3 | 0.000 | -10.284 | -24 |
| 4 | 0.000 | -10.131 | 130 |
| 5 | 0.001 | -8.891 | 123 |
| 6 | 0.001 | -8.801 | 213 |